The following is a PBE calculation of an optimized crystal structure of SrPmI5, from Alexandria.

a = 9.5180 Å, b = 4.5843 Å, c = 15.1330 Å
α = 90.00°, β = 94.43°, γ = 90.00°
Last column: nearest neighbours and their distance in Å.
Space group P2_1/m (No. 11)
Inequivalent atoms, fractional coordinates:
Sr: 0.0884 0.2500 0.1409  7 I 3.30-3.53
Pm: 0.4149 0.7500 0.3487  7 I 3.13-3.40
I: 0.0837 0.7500 0.3182  1 Pm 3.15
I: 0.1467 0.2500 0.9254  3 Sr 3.30-3.35
I: 0.3257 0.2500 0.4841  3 Pm 3.23-3.40
I: 0.3549 0.7500 0.1394  1 Pm 3.18, 2 Sr 3.42
I: 0.3830 0.7500 0.7028  2 Pm 3.13

Calculated values
The value obtained for the uncorrected formation energy is -1.507 eV per atom.


The following is a PBE calculation of an optimized crystal structure of TbTm2Ag4, from Alexandria.

a = 7.1506 Å, b = 7.1506 Å, c = 6.9815 Å
α = 90.00°, β = 90.00°, γ = 90.00°
Last column: nearest neighbours and their distance in Å.
Space group I4/mmm (No. 139)
Inequivalent atoms, fractional coordinates:
Tb: 0.0000 0.0000 0.0000  8 Ag 3.07
Tm: 0.0000 0.5000 0.0000  8 Ag 3.07
Ag: 0.2500 0.2500 0.2500  2 Tb 3.07, 4 Tm 3.07

Calculated values
Its energy relative to the elements is -0.101 eV per atom.


The following is a PBE calculation of an optimized crystal structure of RbIn2I8, from Alexandria.

a = 18.1048 Å, b = 9.1530 Å, c = 8.0816 Å
α = 90.00°, β = 105.29°, γ = 90.00°
Last column: nearest neighbours and their distance in Å.
Space group C2/m (No. 12)
Inequivalent atoms, fractional coordinates:
Rb: 0.0000 0.0000 0.0000  6 I 3.81-3.82
In: 0.1689 0.0000 0.6590  4 I 2.73-2.80
I: 0.0822 0.2415 0.7086  1 In 2.80
I: 0.1925 0.0000 0.3388  1 In 2.73
I: 0.2002 0.5000 0.0756  1 In 2.74

Calculated values
As for the energy above the most stable polymorph in this dataset: 12 meV per atom. The value obtained for the uncorrected formation energy is -0.581 eV per atom.


The following is a PBE calculation of an optimized crystal structure of Zn2TcCl, from Alexandria.

a = 2.9778 Å, b = 2.9778 Å, c = 7.5195 Å
α = 90.00°, β = 90.00°, γ = 90.00°
Last column: nearest neighbours and their distance in Å.
Space group P4/mmm (No. 123)
Inequivalent atoms, fractional coordinates:
Zn: 0.0000 0.0000 0.2281  4 Tc 2.72, 4 Cl 2.93, 4 Zn 2.98
Tc: 0.5000 0.5000 0.0000  8 Zn 2.72, 4 Tc 2.98
Cl: 0.5000 0.5000 0.5000  8 Zn 2.93, 4 Cl 2.98

Calculated values
As for the energy above the most stable polymorph in this dataset: 103 meV per atom. The value obtained for the uncorrected formation energy is 0.144 eV per atom.


The following is a PBE calculation of an optimized crystal structure of RbSrHf2, from Alexandria.

a = 8.0706 Å, b = 8.0706 Å, c = 8.0706 Å
α = 90.00°, β = 90.00°, γ = 90.00°
Last column: nearest neighbours and their distance in Å.
Space group Fm-3m (No. 225)
Inequivalent atoms, fractional coordinates:
Rb: 0.0000 0.0000 0.0000  8 Hf 3.49
Sr: 0.0000 0.0000 0.5000  8 Hf 3.49
Hf: 0.2500 0.2500 0.2500  4 Sr 3.49, 4 Rb 3.49

Calculated values
Its energy relative to the elements is 1.497 eV per atom. As for the energy above the most stable polymorph in this dataset: 218 meV per atom.


The following is a PBE calculation of an optimized crystal structure of BeSb2As, from Alexandria.

a = 4.4461 Å, b = 3.7005 Å, c = 5.7713 Å
α = 90.00°, β = 100.99°, γ = 90.00°
Last column: nearest neighbours and their distance in Å.
Space group Pm (No. 6)
Inequivalent atoms, fractional coordinates:
Be: 0.0000 0.0000 0.0000  2 As 2.24, 1 Sb 2.48
Sb: 0.2001 0.5000 0.6687  1 As 2.68, 2 Be 2.92
Sb: 0.4568 0.0000 0.3218  1 Be 2.48
As: 0.7159 0.5000 0.9976  2 Be 2.24

Calculated values
As for the energy above the most stable polymorph in this dataset: 34 meV per atom. The value obtained for the uncorrected formation energy is 0.191 eV per atom.


The following is a PBE calculation of an optimized crystal structure of Ta3Ni5, from Alexandria.

a = 7.5781 Å, b = 7.8133 Å, c = 3.6484 Å
α = 90.00°, β = 90.00°, γ = 90.00°
Last column: nearest neighbours and their distance in Å.
Space group Cmmm (No. 65)
Inequivalent atoms, fractional coordinates:
Ta: 0.0000 0.0000 0.0000  8 Ni 2.65-2.72, 4 Ta 2.78
Ta: 0.0000 0.2680 0.5000  10 Ni 2.57-2.84, 2 Ta 2.78
Ni: 0.0000 0.5000 0.0000  4 Ta 2.57, 8 Ni 2.61-2.72
Ni: 0.2460 0.5000 0.5000  6 Ta 2.60-2.84, 6 Ni 2.61-2.67
Ni: 0.2500 0.2500 0.0000  6 Ta 2.63-2.72, 6 Ni 2.67-2.72

Calculated values
Its energy relative to the elements is -0.187 eV per atom. As for the energy above the most stable polymorph in this dataset: 0 meV per atom.


The following is a PBE calculation of an optimized crystal structure of LiSn2Te2, from Alexandria.

a = 8.1025 Å, b = 8.1025 Å, c = 4.5196 Å
α = 90.00°, β = 90.00°, γ = 90.00°
Last column: nearest neighbours and their distance in Å.
Space group P4/mbm (No. 127)
Inequivalent atoms, fractional coordinates:
Li: 0.0000 0.0000 0.0000  4 Te 2.98
Sn: 0.1401 0.3599 0.5000  2 Te 3.07, 1 Sn 3.21
Te: 0.1784 0.6784 0.0000  2 Li 2.98, 2 Sn 3.07

Calculated values
As for the energy above the most stable polymorph in this dataset: 0 meV per atom. The value obtained for the uncorrected formation energy is -0.261 eV per atom.